Entry 1:
Material: LiCePuTe3
Method: DFT, PBE
State: relaxed

```
12
Lattice="9.091 0.000 0.000 0.000 4.329 0.000 -2.228 0.000 9.361" Properties=species:S:1:pos:R:3 pbc="T T T"
Li 0.595 1.082 0.794
Li 6.268 3.247 8.567
Ce 0.044 1.082 6.826
Ce 6.819 3.247 2.534
Pu 2.257 3.247 3.179
Pu 4.606 1.082 6.182
Te 0.000 1.082 3.474
Te -0.149 3.247 9.331
Te 2.371 3.247 6.321
Te 4.492 1.082 3.040
Te 7.012 1.082 0.029
Te 6.863 3.247 5.886
```

Output
As for the energy: -77.04 eV/cell. For the energy relative to the elements, uncorrected, the calculation gives -1.153 eV per atom. The volume comes out at 368.4 Å³/cell.

***

Entry 2:
Material: LiCe2PuTl4
Method: DFT, PBE
State: relaxed

```
8
Lattice="2.682 1.548 8.897 -2.682 1.548 8.897 0.000 -3.097 8.897" Properties=species:S:1:pos:R:3 pbc="T T T"
Li 0.000 0.000 0.000
Ce 0.000 0.000 6.663
Ce 0.000 0.000 20.029
Pu 0.000 0.000 13.346
Tl 0.000 0.000 3.236
Tl 0.000 0.000 9.915
Tl 0.000 0.000 16.777
Tl 0.000 0.000 23.456
```

Output
As for the energy: -38.88 eV/cell. As for the energy of formation from the pure elements: -16 kJ per mole of atoms. The volume comes out at 221.7 Å³/cell.

***

Entry 3:
Material: LiCePuZn
Method: DFT, PBE
State: relaxed

```
16
Lattice="6.961 0.000 0.000 0.000 6.961 0.000 0.000 0.000 6.961" Properties=species:S:1:pos:R:3 pbc="T T T"
Li 0.000 0.000 0.000
Li 0.000 3.481 3.481
Li 3.481 0.000 3.481
Li 3.481 3.481 0.000
Ce 0.000 0.000 3.481
Ce 0.000 3.481 0.000
Ce 3.481 0.000 0.000
Ce 3.481 3.481 3.481
Pu 1.740 1.740 5.221
Pu 1.740 5.221 1.740
Pu 5.221 1.740 1.740
Pu 5.221 5.221 5.221
Zn 1.740 1.740 1.740
Zn 1.740 5.221 5.221
Zn 5.221 1.740 5.221
Zn 5.221 5.221 1.740
```

Output
As for the energy: -93.22 eV/cell. As for the energy of formation from the pure elements: 4 kJ per mole of atoms. The volume comes out at 337.3 Å³/cell.

***

Entry 4:
Material: Rb4LiCe3S8
Method: DFT, PBE
State: relaxed

```
16
Lattice="4.175 2.410 7.602 -4.175 2.410 7.602 0.000 -4.821 7.602" Properties=species:S:1:pos:R:3 pbc="T T T"
Rb 0.000 0.000 0.000
Rb -2.088 -1.205 7.602
Rb -2.087 1.205 15.204
Rb 0.000 2.410 7.602
Li 0.000 0.000 11.403
Ce -4.175 0.000 11.403
Ce -2.087 1.205 3.801
Ce 2.088 1.205 3.801
S -2.163 -1.249 12.838
S 0.000 0.000 5.291
S 0.000 -2.498 9.967
S -2.163 1.249 9.967
S 2.163 -1.249 12.838
S 0.000 2.498 12.838
S 0.000 0.000 17.514
S 2.163 1.249 9.967
```

Output
As for the energy: -82.44 eV/cell. For the energy relative to the elements, uncorrected, the calculation gives -1.615 eV per atom. The volume comes out at 459.0 Å³/cell.

***

Entry 5:
Material: Rb2Li2CeS4
Method: DFT, PBE
State: relaxed

```
9
Lattice="7.523 -2.092 0.000 7.523 2.092 0.000 -2.592 0.000 7.252" Properties=species:S:1:pos:R:3 pbc="T T T"
Rb 1.923 0.000 0.471
Rb 10.532 0.000 6.781
Li 3.475 0.000 3.709
Li 8.980 0.000 3.543
Ce -1.296 0.000 3.626
S 1.198 0.000 4.757
S 5.394 0.000 5.242
S 7.061 0.000 2.011
S 11.257 0.000 2.495
```

Output
As for the energy: -41.74 eV/cell. For the energy relative to the elements, uncorrected, the calculation gives -1.503 eV per atom. The volume comes out at 228.3 Å³/cell.

***

Entry 6:
Material: Rb3LiCe2S6
Method: DFT, PBE
State: relaxed

```
12
Lattice="3.589 -6.223 0.000 3.589 6.223 0.000 -2.366 0.000 7.595" Properties=species:S:1:pos:R:3 pbc="T T T"
Rb 0.000 0.000 0.000
Rb 3.589 1.981 0.000
Rb 3.589 -1.981 0.000
Li 2.406 0.000 3.797
Ce 2.406 4.142 3.797
Ce 2.406 -4.142 3.797
S 1.145 2.183 2.336
S -0.083 0.000 5.223
S 1.145 -2.183 2.336
S 3.667 2.183 5.259
S 4.895 0.000 2.372
S 3.667 -2.183 5.259
```

Output
As for the energy: -60.12 eV/cell. For the energy relative to the elements, uncorrected, the calculation gives -1.556 eV per atom. The volume comes out at 339.2 Å³/cell.

***

Entry 7:
Material: Rb3LiCe3S8
Method: DFT, PBE
State: relaxed

```
15
Lattice="4.106 2.371 7.668 -4.106 2.371 7.668 0.000 -4.741 7.668" Properties=species:S:1:pos:R:3 pbc="T T T"
Rb -2.053 -1.185 7.668
Rb -2.053 1.185 15.337
Rb 0.000 2.371 7.668
Li 0.000 0.000 11.503
Ce -4.106 0.000 11.503
Ce -2.053 1.185 3.834
Ce 2.053 1.185 3.834
S -2.130 -1.230 12.903
S 0.000 0.000 5.332
S 0.000 -2.460 10.103
S -2.130 1.230 10.103
S 2.130 -1.230 12.903
S 0.000 2.460 12.903
S 0.000 0.000 17.674
S 2.130 1.230 10.103
```

Output
As for the energy: -79.33 eV/cell. For the energy relative to the elements, uncorrected, the calculation gives -1.580 eV per atom. The volume comes out at 447.9 Å³/cell.

***

Entry 8:
Material: RbLi2Ce2S6
Method: DFT, PBE
State: relaxed

```
11
Lattice="6.681 0.000 0.000 0.034 7.192 0.000 0.014 3.594 6.231" Properties=species:S:1:pos:R:3 pbc="T T T"
Rb 0.000 0.000 0.000
Li 3.357 3.601 2.089
Li 3.372 7.186 4.142
Ce 0.016 3.596 2.079
Ce 6.713 7.191 4.152
S 1.678 5.116 3.582
S 1.673 4.121 0.001
S 1.694 8.712 2.651
S 5.035 2.074 3.580
S 5.056 6.665 6.230
S 5.051 5.670 2.649
```

Output
As for the energy: -56.42 eV/cell. For the energy relative to the elements, uncorrected, the calculation gives -1.363 eV per atom. The volume comes out at 299.4 Å³/cell.

***

Entry 9:
Material: Rb2LiCeSe4
Method: DFT, PBE
State: relaxed

```
16
Lattice="-4.194 4.647 6.597 4.194 -4.647 6.597 4.194 4.647 -6.597" Properties=species:S:1:pos:R:3 pbc="T T T"
Rb 0.000 0.000 0.000
Rb -2.097 2.323 3.298
Rb 0.000 4.647 0.000
Rb 2.097 2.323 3.298
Li 4.194 0.000 0.000
Li 0.000 0.000 6.597
Ce 2.097 2.323 -3.298
Ce 2.097 -2.323 3.298
Se 4.194 4.258 -3.340
Se 4.194 -0.388 3.340
Se 2.706 2.323 -0.379
Se 5.681 2.323 -0.379
Se -1.487 2.323 6.976
Se 1.487 2.323 6.976
Se 0.000 5.035 3.257
Se 0.000 0.388 9.937
```

Output
As for the energy: -67.08 eV/cell. For the energy relative to the elements, uncorrected, the calculation gives -1.227 eV per atom. The volume comes out at 514.2 Å³/cell.

***

Entry 10:
Material: Rb3LiCe3Se8
Method: DFT, PBE
State: relaxed

```
15
Lattice="4.266 2.463 7.996 -4.266 2.463 7.996 0.000 -4.926 7.996" Properties=species:S:1:pos:R:3 pbc="T T T"
Rb -2.133 -1.231 7.996
Rb -2.133 1.231 15.992
Rb 0.000 2.463 7.996
Li 0.000 0.000 11.994
Ce -4.266 0.000 11.994
Ce -2.133 1.231 3.998
Ce 2.133 1.231 3.998
Se -2.202 -1.271 13.490
Se 0.000 0.000 5.588
Se 0.000 -2.543 10.498
Se -2.202 1.271 10.498
Se 2.202 -1.271 13.490
Se 0.000 2.543 13.490
Se 0.000 0.000 18.400
Se 2.202 1.271 10.498
```

Output
As for the energy: -72.74 eV/cell. For the energy relative to the elements, uncorrected, the calculation gives -1.483 eV per atom. The volume comes out at 504.0 Å³/cell.

***

Entry 11:
Material: Rb3LiCe2Se6
Method: DFT, PBE
State: relaxed

```
12
Lattice="3.735 -6.470 0.000 3.735 6.470 0.000 -2.469 0.000 7.904" Properties=species:S:1:pos:R:3 pbc="T T T"
Rb 0.000 0.000 0.000
Rb 3.735 2.078 0.000
Rb 3.735 -2.078 0.000
Li 2.500 0.000 3.952
Ce 2.500 4.306 3.952
Ce 2.500 -4.306 3.952
Se 1.202 2.245 2.414
Se -0.073 0.000 5.463
Se 1.202 -2.245 2.414
Se 3.799 2.245 5.490
Se 5.073 0.000 2.441
Se 3.799 -2.245 5.490
```

Output
As for the energy: -55.29 eV/cell. For the energy relative to the elements, uncorrected, the calculation gives -1.475 eV per atom. The volume comes out at 382.0 Å³/cell.